CrGeRu3: optimized geometry, PBE.

```
CrGeRu3
1.0
4.441 0.000 0.000
0.000 4.441 0.000
0.000 0.000 4.441
Cr Ge Ru
1 1 3
Direct
0.000 0.000 0.000 Cr
0.500 0.500 0.500 Ge
0.000 0.500 0.500 Ru
0.500 0.000 0.500 Ru
0.500 0.500 0.000 Ru
```

Output
**Offset from the most stable computed form**: 267.9 meV per atom
**Theoretical density**: 8.11 g cm⁻³
**Space-group type**: Pm-3m